[1]
The following is a DFT calculation (PBE) of crystalline AlFe2B2 at its relaxed geometry.

It has space group Cmmm (No. 65), with a = 2.9126 Å, b = 11.0286 Å, c = 2.8463 Å, α = 90.00°, β = 90.00° and γ = 90.00°. Symmetry generates all atoms from Al at (0.0000, 0.0000, 0.0000), Fe at (0.0000, 0.3537, 0.5000) and B at (0.0000, 0.2061, 0.0000).

***

[2]
The following is a DFT calculation (PBE) of crystalline ZnCu2Au at its relaxed geometry.

The value obtained for the energy relative to the elements is -0.089 eV per atom.

It has space group F-43m (No. 216), with a = 6.0813 Å, b = 6.0813 Å, c = 6.0813 Å, α = 90.00°, β = 90.00° and γ = 90.00°. Symmetry generates all atoms from Zn at (0.0000, 0.0000, 0.0000), Cu at (0.0000, 0.0000, 0.5000), Cu at (0.2500, 0.2500, 0.2500) and Au at (0.2500, 0.2500, 0.7500).

***

The records above yield raw total energy values of -7.145; -3.080 eV/atom, respectively.